! Sm6IrPb3 (GGA-PBE, optimized geometry); values from VASP
! Energy of formation = -468 meV per atom
! SG = P2_1/c, No. 14
! ρ = 9.113 g cm⁻³
&SYSTEM
  ibrav = 0, nat = 20, ntyp = 3
/
ATOMIC_SPECIES
Sm 150.36 Sm.upf
Ir 192.22 Ir.upf
Pb 207.20 Pb.upf
CELL_PARAMETERS angstrom
-3.106 -5.545 0.135
7.784 -4.349 0.444
-0.578 0.089 11.012
ATOMIC_POSITIONS angstrom
Sm -1.266 -4.061 10.532
Sm -0.656 -4.140 6.357
Sm 1.387 -5.473 3.225
Sm 2.714 -4.332 8.366
Sm 4.757 -5.665 5.234
Sm 5.366 -5.744 1.059
Sm 2.031 -2.145 5.041
Sm 2.008 -1.871 0.830
Sm -0.494 -0.899 8.484
Sm 4.595 -8.906 3.107
Sm 2.093 -7.934 10.760
Sm 2.070 -7.660 6.550
Ir 2.050 -4.903 5.795
Ir 0.000 0.000 0.000
Pb 4.608 -7.088 8.597
Pb 2.339 -4.947 0.290
Pb -0.508 -2.717 2.994
Pb 4.353 -3.188 2.903
Pb -0.289 0.044 5.506
Pb -0.253 -6.617 8.687